Entry from the Alexandria database: La2Nd6ErMg after structural relaxation (PBE). Values from VASP.

Quantum ESPRESSO input file:
```
&SYSTEM
  ibrav = 0, nat = 20, ntyp = 4
/
ATOMIC_SPECIES
La 138.91 La.upf
Nd 144.24 Nd.upf
Er 167.26 Er.upf
Mg 24.30 Mg.upf
CELL_PARAMETERS angstrom
4.656 -7.450 0.000
4.656 7.450 0.000
-1.946 0.000 9.840
ATOMIC_POSITIONS crystal
La 0.202 0.290 0.051
La 0.290 0.202 0.551
La 0.710 0.798 0.449
La 0.798 0.710 0.949
Nd 0.005 0.579 0.192
Nd 0.122 0.745 0.551
Nd 0.255 0.878 0.949
Nd 0.301 0.497 0.385
Nd 0.421 0.995 0.308
Nd 0.497 0.301 0.885
Nd 0.503 0.699 0.115
Nd 0.579 0.005 0.692
Nd 0.699 0.503 0.615
Nd 0.745 0.122 0.051
Nd 0.878 0.255 0.449
Nd 0.995 0.421 0.808
Er 0.010 0.990 0.250
Er 0.990 0.010 0.750
Mg 0.402 0.598 0.750
Mg 0.598 0.402 0.250
```

Output
Raw total energy in eV per atom: -4.363
DOS at the Fermi energy in states/eV per atom: 1.41
Total magnetization in μB/cell: 0.0